Entry 1:
The following is a GGA-PBEsol calculation of a relaxed CsAg2I3 crystal, from Alexandria via LeMat-Bulk.

```
24
Lattice="13.786 0.000 0.000 0.000 5.868 0.000 0.000 0.000 11.288" Properties=species:S:1:pos:R:3 pbc="T T T"
Cs 2.730 1.467 0.075
Cs 4.163 4.401 5.719
Cs 9.624 1.467 5.570
Cs 11.056 4.401 11.214
Ag 0.020 0.001 3.698
Ag 0.020 2.933 3.698
Ag 6.873 5.866 9.343
Ag 6.873 2.935 9.343
Ag 6.914 0.001 1.946
Ag 6.914 2.933 1.946
Ag 13.766 5.866 7.590
Ag 13.766 2.935 7.590
I 1.588 1.467 5.669
I 1.839 4.401 9.029
I 1.984 4.401 2.401
I 4.909 1.467 8.045
I 5.054 1.467 3.385
I 5.305 4.401 0.025
I 8.481 1.467 11.263
I 8.732 4.401 7.903
I 8.878 4.401 3.243
I 11.802 1.467 8.887
I 11.947 1.467 2.259
I 12.198 4.401 5.619
```

Theoretical density = 5.3 Mg/m³
Crystal system = orthorhombic
Energy = -2.803 eV/atom
Space group = Pnma

=====

Entry 2:
The following is a GGA-PBEsol calculation of a relaxed Cs2AgI3 crystal, from Alexandria via LeMat-Bulk.

```
24
Lattice="14.464 0.000 0.000 0.000 4.877 0.000 0.000 0.000 15.066" Properties=species:S:1:pos:R:3 pbc="T T T"
Cs 0.190 1.219 2.669
Cs 2.561 1.219 7.821
Cs 4.671 3.658 0.288
Cs 7.042 3.658 10.202
Cs 7.422 1.219 4.864
Cs 9.793 1.219 14.779
Cs 11.903 3.658 7.245
Cs 14.274 3.658 12.398
Ag 3.514 3.658 4.637
Ag 3.718 1.219 12.170
Ag 10.746 3.658 2.896
Ag 10.950 1.219 10.429
I 0.838 3.658 5.480
I 1.937 1.219 14.332
I 3.260 3.658 10.769
I 3.972 1.219 3.236
I 5.295 3.658 6.799
I 6.394 1.219 13.013
I 8.070 3.658 2.053
I 9.169 1.219 8.268
I 10.492 3.658 11.830
I 11.204 1.219 4.297
I 12.527 3.658 0.734
I 13.626 1.219 9.586
```

Theoretical density = 4.7 Mg/m³
Crystal system = orthorhombic
Energy = -2.859 eV/atom
Space group = Pnma

=====

Entry 3:
The following is a GGA-PBEsol calculation of a relaxed Cs2InAgI6 crystal, from Alexandria via LeMat-Bulk.

```
10
Lattice="0.000 6.014 6.014 6.014 0.000 6.014 6.014 6.014 0.000" Properties=species:S:1:pos:R:3 pbc="T T T"
Cs 3.007 3.007 3.007
Cs 9.021 9.021 9.021
In 0.000 0.000 0.000
Ag 6.014 6.014 6.014
I 6.014 6.014 2.983
I 6.014 2.983 6.014
I 9.045 6.014 6.014
I 2.983 6.014 6.014
I 6.014 9.045 6.014
I 6.014 6.014 9.045
```

Theoretical density = 4.8 Mg/m³
Crystal system = cubic
Energy = -2.728 eV/atom
Space group = Fm-3m

=====

Entry 4:
The following is a GGA-PBEsol calculation of a relaxed Cs2NdAgI6 crystal, from Alexandria via LeMat-Bulk.

```
10
Lattice="0.000 6.171 6.171 6.171 0.000 6.171 6.171 6.171 0.000" Properties=species:S:1:pos:R:3 pbc="T T T"
Cs 3.086 3.086 3.086
Cs 9.257 9.257 9.257
Nd 0.000 0.000 0.000
Ag 6.171 6.171 6.171
I 6.171 6.171 3.115
I 6.171 3.115 6.171
I 9.227 6.171 6.171
I 3.115 6.171 6.171
I 6.171 9.227 6.171
I 6.171 6.171 9.227
```

Theoretical density = 4.5 Mg/m³
Crystal system = cubic
Energy = -3.302 eV/atom
Space group = Fm-3m

=====

Entry 5:
The following is a GGA-PBEsol calculation of a relaxed Cs2PrAgI6 crystal, from Alexandria via LeMat-Bulk.

```
10
Lattice="0.000 6.191 6.191 6.191 0.000 6.191 6.191 6.191 0.000" Properties=species:S:1:pos:R:3 pbc="T T T"
Cs 3.096 3.096 3.096
Cs 9.287 9.287 9.287
Pr 0.000 0.000 0.000
Ag 6.191 6.191 6.191
I 6.191 6.191 3.135
I 6.191 3.135 6.191
I 9.248 6.191 6.191
I 3.135 6.191 6.191
I 6.191 9.248 6.191
I 6.191 6.191 9.248
```

Theoretical density = 4.5 Mg/m³
Crystal system = cubic
Energy = -3.302 eV/atom
Space group = Fm-3m

=====

Entry 6:
The following is a GGA-PBEsol calculation of a relaxed CsIn3Ag crystal, from Alexandria via LeMat-Bulk.

```
5
Lattice="5.447 0.000 0.000 0.000 5.447 0.000 0.000 0.000 5.447" Properties=species:S:1:pos:R:3 pbc="T T T"
Cs 0.000 0.000 0.000
In 0.000 2.724 2.724
In 2.724 0.000 2.724
In 2.724 2.724 0.000
Ag 2.724 2.724 2.724
```

DFT formation energy = 0.133 eV per atom
Theoretical density = 6.0 Mg/m³
Crystal system = cubic
Energy = -2.508 eV/atom
Space group = Pm-3m

=====

Entry 7:
The following is a GGA-PBEsol calculation of a relaxed Cs2InAgO crystal, from Alexandria via LeMat-Bulk.

```
5
Lattice="6.835 0.000 0.000 0.000 6.835 0.000 0.000 0.000 3.915" Properties=species:S:1:pos:R:3 pbc="T T T"
Cs 0.000 3.417 0.000
Cs 3.417 0.000 0.000
In 0.000 0.000 1.958
Ag 3.417 3.417 0.000
O 3.417 3.417 1.958
```

Theoretical density = 4.6 Mg/m³
Crystal system = tetragonal
Energy = -2.782 eV/atom
Space group = P4/mmm

=====

Entry 8:
The following is a GGA-PBEsol calculation of a relaxed CsTlIn2Ag crystal, from Alexandria via LeMat-Bulk.

```
5
Lattice="5.288 0.000 0.000 0.000 5.288 0.000 0.000 0.000 6.292" Properties=species:S:1:pos:R:3 pbc="T T T"
Cs 0.000 0.000 0.000
Tl 2.644 2.644 0.000
In 0.000 2.644 3.146
In 2.644 0.000 3.146
Ag 0.000 0.000 3.146
```

DFT formation energy = 0.233 eV per atom
Theoretical density = 6.4 Mg/m³
Crystal system = tetragonal
Energy = -2.337 eV/atom
Space group = P4/mmm

=====

Entry 9:
The following is a GGA-PBEsol calculation of a relaxed CsAg2IrW crystal, from Alexandria via LeMat-Bulk.

```
5
Lattice="5.278 0.000 0.000 0.000 5.278 0.000 0.000 0.000 4.709" Properties=species:S:1:pos:R:3 pbc="T T T"
Cs 0.000 0.000 0.000
Ag 0.000 2.639 2.355
Ag 2.639 0.000 2.355
Ir 2.639 2.639 2.355
W 2.639 2.639 0.000
```

DFT formation energy = 1.161 eV per atom
Theoretical density = 9.2 Mg/m³
Crystal system = tetragonal
Energy = -5.079 eV/atom
Space group = P4/mmm

=====

Entry 10:
The following is a GGA-PBEsol calculation of a relaxed CsK2Ag2 crystal, from Alexandria via LeMat-Bulk.

```
10
Lattice="9.153 0.000 0.000 0.000 9.153 0.000 0.000 0.000 4.777" Properties=species:S:1:pos:R:3 pbc="T T T"
Cs 0.000 0.000 0.000
Cs 4.577 4.577 0.000
K 1.468 3.108 2.389
K 3.108 7.685 2.389
K 6.045 1.468 2.389
K 7.685 6.045 2.389
Ag 0.994 5.571 0.000
Ag 3.583 0.994 0.000
Ag 5.571 8.159 0.000
Ag 8.159 3.583 0.000
```

DFT formation energy = 0.157 eV per atom
Theoretical density = 3.5 Mg/m³
Energy above the lowest structure with this stoichiometry = 0.011 eV/atom
Crystal system = tetragonal
Energy = -1.809 eV/atom
Space group = P4/mbm

=====

Entry 11:
The following is a GGA-PBEsol calculation of a relaxed CsK3Ag crystal, from Alexandria via LeMat-Bulk.

```
5
Lattice="6.737 0.000 0.000 0.000 6.737 0.000 0.000 0.000 6.737" Properties=species:S:1:pos:R:3 pbc="T T T"
Cs 0.000 0.000 0.000
K 0.000 3.368 3.368
K 3.368 0.000 3.368
K 3.368 3.368 0.000
Ag 3.368 3.368 3.368
```

DFT formation energy = 0.103 eV per atom
Theoretical density = 1.9 Mg/m³
Energy above the lowest structure with this stoichiometry = 0.000 eV/atom
Crystal system = cubic
Energy = -1.428 eV/atom
Space group = Pm-3m

=====

Entry 12:
The following is a GGA-PBEsol calculation of a relaxed CsK3Ag crystal, from Alexandria via LeMat-Bulk.

```
5
Lattice="7.698 0.000 0.000 0.000 7.698 0.000 0.000 0.000 7.698" Properties=species:S:1:pos:R:3 pbc="T T T"
Cs 0.000 0.000 0.000
K 0.000 0.000 3.849
K 0.000 3.849 0.000
K 3.849 0.000 0.000
Ag 3.849 3.849 3.849
```

DFT formation energy = 0.728 eV per atom
Theoretical density = 1.3 Mg/m³
Energy above the lowest structure with this stoichiometry = 0.625 eV/atom
Crystal system = cubic
Energy = -0.803 eV/atom
Space group = Pm-3m

=====

Entry 13:
The following is a GGA-PBEsol calculation of a relaxed Cs2KAg2 crystal, from Alexandria via LeMat-Bulk.

```
10
Lattice="9.754 0.000 0.000 0.000 9.754 0.000 0.000 0.000 4.741" Properties=species:S:1:pos:R:3 pbc="T T T"
Cs 1.399 3.478 0.000
Cs 3.478 8.355 0.000
Cs 6.276 1.399 0.000
Cs 8.355 6.276 0.000
K 0.000 0.000 2.370
K 4.877 4.877 2.370
Ag 1.504 6.381 2.370
Ag 3.373 1.504 2.370
Ag 6.381 8.250 2.370
Ag 8.250 3.373 2.370
```

DFT formation energy = 0.165 eV per atom
Theoretical density = 3.8 Mg/m³
Crystal system = tetragonal
Energy = -1.764 eV/atom
Space group = P4/mbm

=====

Entry 14:
The following is a GGA-PBEsol calculation of a relaxed CsK2Ag2 crystal, from Alexandria via LeMat-Bulk.

```
5
Lattice="-2.669 2.669 7.187 2.669 -2.669 7.187 2.669 2.669 -7.187" Properties=species:S:1:pos:R:3 pbc="T T T"
Cs 0.000 0.000 0.000
K 2.669 0.000 3.594
K 0.000 2.669 3.594
Ag 0.000 0.000 5.833
Ag 0.000 0.000 8.542
```

DFT formation energy = 0.146 eV per atom
Theoretical density = 3.5 Mg/m³
Energy above the lowest structure with this stoichiometry = 0.000 eV/atom
Crystal system = tetragonal
Energy = -1.820 eV/atom
Space group = I4/mmm

=====

Entry 15:
The following is a GGA-PBEsol calculation of a relaxed Cs2KAgSb crystal, from Alexandria via LeMat-Bulk.

```
5
Lattice="6.555 0.000 0.000 0.000 6.555 0.000 0.000 0.000 6.097" Properties=species:S:1:pos:R:3 pbc="T T T"
Cs 0.000 3.277 0.000
Cs 3.277 0.000 0.000
K 0.000 0.000 3.049
Ag 0.000 0.000 0.000
Sb 3.277 3.277 3.049
```

Theoretical density = 3.4 Mg/m³
Crystal system = tetragonal
Energy = -2.014 eV/atom
Space group = P4/mmm

=====

Entry 16:
The following is a GGA-PBEsol calculation of a relaxed CsSrLa2Ag crystal, from Alexandria via LeMat-Bulk.

```
5
Lattice="5.899 0.000 0.000 0.000 5.899 0.000 0.000 0.000 5.669" Properties=species:S:1:pos:R:3 pbc="T T T"
Cs 0.000 0.000 0.000
Sr 2.950 2.950 2.834
La 0.000 2.950 0.000
La 2.950 0.000 0.000
Ag 0.000 0.000 2.834
```

DFT formation energy = 0.841 eV per atom
Theoretical density = 5.1 Mg/m³
Crystal system = tetragonal
Energy = -2.517 eV/atom
Space group = P4/mmm

=====

Entry 17:
The following is a GGA-PBEsol calculation of a relaxed CsLi3Ag crystal, from Alexandria via LeMat-Bulk.

```
5
Lattice="5.187 0.000 0.000 0.000 5.187 0.000 0.000 0.000 5.187" Properties=species:S:1:pos:R:3 pbc="T T T"
Cs 0.000 0.000 0.000
Li 0.000 0.000 2.593
Li 0.000 2.593 0.000
Li 2.593 0.000 0.000
Ag 2.593 2.593 2.593
```

DFT formation energy = 0.974 eV per atom
Theoretical density = 3.1 Mg/m³
Energy above the lowest structure with this stoichiometry = 0.850 eV/atom
Crystal system = cubic
Energy = -1.057 eV/atom
Space group = Pm-3m

=====

Entry 18:
The following is a GGA-PBEsol calculation of a relaxed CsLi2Ag2 crystal, from Alexandria via LeMat-Bulk.

```
5
Lattice="-2.367 2.367 5.846 2.367 -2.367 5.846 2.367 2.367 -5.846" Properties=species:S:1:pos:R:3 pbc="T T T"
Cs 0.000 0.000 0.000
Li 2.367 0.000 2.923
Li 0.000 2.367 2.923
Ag 0.000 0.000 4.435
Ag 0.000 0.000 7.256
```

DFT formation energy = 0.075 eV per atom
Theoretical density = 4.6 Mg/m³
Crystal system = tetragonal
Energy = -2.225 eV/atom
Space group = I4/mmm

=====

Entry 19:
The following is a GGA-PBEsol calculation of a relaxed CsLi3Ag crystal, from Alexandria via LeMat-Bulk.

```
5
Lattice="5.370 0.000 0.000 0.000 5.370 0.000 0.000 0.000 5.370" Properties=species:S:1:pos:R:3 pbc="T T T"
Cs 0.000 0.000 0.000
Li 0.000 2.685 2.685
Li 2.685 0.000 2.685
Li 2.685 2.685 0.000
Ag 2.685 2.685 2.685
```

DFT formation energy = 0.124 eV per atom
Theoretical density = 2.8 Mg/m³
Energy above the lowest structure with this stoichiometry = 0.000 eV/atom
Crystal system = cubic
Energy = -1.906 eV/atom
Space group = Pm-3m

=====

Entry 20:
The following is a GGA-PBEsol calculation of a relaxed CsMnAg3 crystal, from Alexandria via LeMat-Bulk.

```
5
Lattice="5.691 0.000 0.000 0.000 5.691 0.000 0.000 0.000 5.691" Properties=species:S:1:pos:R:3 pbc="T T T"
Cs 0.000 0.000 0.000
Mn 2.845 2.845 2.845
Ag 0.000 0.000 2.845
Ag 0.000 2.845 0.000
Ag 2.845 0.000 0.000
```

DFT formation energy = 1.920 eV per atom
Theoretical density = 4.6 Mg/m³
Crystal system = cubic
Energy = -2.207 eV/atom
Space group = Pm-3m